Entry 1:
A geometry-optimized TlCdTeMo structure, computed with PBE.

It has space group Pm (No. 6), with a = 3.2793 Å, b = 3.2792 Å, c = 9.0836 Å, α = 90.00°, β = 90.27° and γ = 90.00°. The distinct sites, in fractional coordinates, are Tl at (0.0000, 0.0000, 0.0000), Cd at (0.4951, 0.5000, 0.7278), Te at (0.4898, 0.5000, 0.3534) and Mo at (0.9921, 0.0000, 0.5202).

The uncorrected formation energy comes out at 0.153 eV per atom. As for the mass density: 9.19 g cm⁻³. The excess energy over the best structure of this formula in the dataset is 0.0 kJ/mol of formula units.


Entry 2:
A geometry-optimized TlCdTeMo structure, computed with PBE.

It has space group P1 (No. 1), with a = 3.3528 Å, b = 5.6130 Å, c = 6.0023 Å, α = 70.49°, β = 73.98° and γ = 72.79°. The distinct sites, in fractional coordinates, are Tl at (0.0000, 0.0000, 0.0000), Cd at (0.3728, 0.6138, 0.6431), Te at (0.1810, 0.2428, 0.4008) and Mo at (0.6950, 0.5280, 0.0863).

The uncorrected formation energy comes out at 0.349 eV per atom. As for the mass density: 9.00 g cm⁻³. The excess energy over the best structure of this formula in the dataset is 75.6 kJ/mol of formula units.


Entry 3:
A geometry-optimized TlCdTeMo structure, computed with PBE.

It has space group Cm (No. 8), with a = 9.9360 Å, b = 3.5138 Å, c = 6.4961 Å, α = 90.00°, β = 123.71° and γ = 90.00°. The distinct sites, in fractional coordinates, are Tl at (0.0000, 0.0000, 0.0000), Cd at (0.3028, 0.5000, 0.2171), Te at (0.1093, 0.5000, 0.6338) and Mo at (0.2862, 0.0000, 0.5511).

The uncorrected formation energy comes out at 0.347 eV per atom. As for the mass density: 9.51 g cm⁻³. The excess energy over the best structure of this formula in the dataset is 74.7 kJ/mol of formula units.


Entry 4:
A geometry-optimized TlCdTeMo structure, computed with PBE.

It has space group Cm (No. 8), with a = 12.5798 Å, b = 5.2931 Å, c = 3.3947 Å, α = 90.00°, β = 90.01° and γ = 90.00°. The distinct sites, in fractional coordinates, are Tl at (0.0000, 0.0000, 0.0000), Cd at (0.3696, 0.0000, 0.5084), Te at (0.2147, 0.5000, 0.5092) and Mo at (0.0542, 0.5000, 0.0091).

The uncorrected formation energy comes out at 0.350 eV per atom. As for the mass density: 7.94 g cm⁻³. The excess energy over the best structure of this formula in the dataset is 75.7 kJ/mol of formula units.


Entry 5:
A geometry-optimized TlCdTeMo structure, computed with PBE.

It has space group P1 (No. 1), with a = 3.2427 Å, b = 3.3360 Å, c = 9.1869 Å, α = 89.99°, β = 79.84° and γ = 90.00°. The distinct sites, in fractional coordinates, are Tl at (0.0000, 0.0000, 0.0000), Cd at (0.1633, 0.4983, 0.6979), Te at (0.8060, 0.0003, 0.3899) and Mo at (0.3885, 0.5004, 0.2247).

The uncorrected formation energy comes out at 0.276 eV per atom. As for the mass density: 9.17 g cm⁻³. The excess energy over the best structure of this formula in the dataset is 47.2 kJ/mol of formula units.


Entry 6:
A geometry-optimized TlCdTeMo structure, computed with PBE.

It has space group Cm (No. 8), with a = 9.4087 Å, b = 3.2678 Å, c = 7.3372 Å, α = 90.00°, β = 111.47° and γ = 90.00°. The distinct sites, in fractional coordinates, are Tl at (0.0000, 0.0000, 0.0000), Cd at (0.1848, 0.0000, 0.7256), Te at (0.3316, 0.5000, 0.3693) and Mo at (0.0488, 0.5000, 0.3705).

The uncorrected formation energy comes out at 0.325 eV per atom. As for the mass density: 8.55 g cm⁻³. The excess energy over the best structure of this formula in the dataset is 66.2 kJ/mol of formula units.


Entry 7:
A geometry-optimized YCdTe2Mo structure, computed with PBE.

It has space group P4/mmm (No. 123), with a = 5.5706 Å, b = 5.5706 Å, c = 5.5179 Å, α = 90.00°, β = 90.00° and γ = 90.00°. The distinct sites, in fractional coordinates, are Y at (0.0000, 0.0000, 0.0000), Cd at (0.0000, 0.0000, 0.5000), Te at (0.0000, 0.5000, 0.5000) and Mo at (0.5000, 0.5000, 0.0000).

The uncorrected formation energy comes out at 1.107 eV per atom. As for the mass density: 5.36 g cm⁻³.


Entry 8:
A geometry-optimized Th2CdMo structure, computed with PBE.

It has space group P4/mmm (No. 123), with a = 3.5793 Å, b = 3.5793 Å, c = 8.2907 Å, α = 90.00°, β = 90.00° and γ = 90.00°. The distinct sites, in fractional coordinates, are Th at (0.0000, 0.0000, 0.2124), Cd at (0.5000, 0.5000, 0.5000) and Mo at (0.5000, 0.5000, 0.0000).

Its calculated formation energy is 0.0709 eV per atom. As for the mass density: 10.51 g cm⁻³. The excess energy over the best structure of this formula in the dataset is 0.0 kJ/mol of formula units.